Record 1
# Tb9Dy2Er3

Crystalline Tb9Dy2Er3 at its relaxed geometry (PBE-GGA, Alexandria).

Cell lengths 6.254, 8.416, 9.156 Å; angles 95.24, 90.21, 111.67 degrees
Positions (direct):
Tb1 0.000 0.000 0.000
Tb2 0.047 0.429 0.070
Tb3 0.190 0.714 0.782
Tb4 0.428 0.857 0.142
Tb5 0.477 0.286 0.213
Tb6 0.570 0.142 0.855
Tb7 0.619 0.572 0.926
Tb8 0.712 0.426 0.570
Tb9 0.857 0.715 0.287
Dy1 0.285 0.571 0.428
Dy2 0.763 0.859 0.641
Er1 0.142 0.284 0.712
Er2 0.334 0.001 0.498
Er3 0.905 0.144 0.357

***

Record 2
# In3Ag2Au7

Crystalline In3Ag2Au7 at its relaxed geometry (PBE-GGA, Alexandria).

Cell lengths 4.693, 3.469, 14.879 Å; angles 90.00, 94.54, 90.00 degrees
Positions (direct):
In1 0.000 0.000 0.000
In2 0.303 0.500 0.696
In3 0.697 0.500 0.304
Ag1 0.210 0.000 0.345
Ag2 0.790 0.000 0.655
Au1 0.156 0.500 0.180
Au2 0.262 0.000 0.546
Au3 0.356 0.000 0.850
Au4 0.500 0.500 0.000
Au5 0.644 0.000 0.150
Au6 0.738 0.000 0.454
Au7 0.844 0.500 0.820

Output
Energy above the lowest structure with this stoichiometry (eV/atom): 0.000

***

Number 1: energy of formation 0.010 eV/atom, size of the total moment 0.00 μB/f.u.. Number 2: energy of formation -0.040 eV/atom, size of the total moment 0.00 μB/f.u..